This record from the Alexandria database describes crystalline Li2FeTe at its relaxed geometry. The functional is PBE.

## Properties
raw formation energy	0.084	eV/atom
crystal system	tetragonal

Unit cell a=3.9196 b=3.9196 c=9.9209 alpha=78.61 beta=78.61 gamma=90.00
Closest atoms and distances in Å follow each position.
Fractional coordinates of all 8 atoms:
Te 0.0000 0.0000 0.0000  4 Li 2.76, 4 Fe 2.77
Te 0.7500 0.2500 0.5000  4 Li 2.76, 4 Fe 2.77
Fe 0.5000 0.5000 0.0000  4 Li 2.75, 4 Te 2.77
Fe 0.2500 0.7500 0.5000  4 Li 2.75, 4 Te 2.77
Li 0.6191 0.1250 0.2500  4 Li 2.74-2.80, 2 Fe 2.75, 2 Te 2.76
Li 0.1309 0.6250 0.2500  4 Li 2.74-2.80, 2 Fe 2.75, 2 Te 2.76
Li 0.3750 0.3809 0.7500  4 Li 2.74-2.80, 2 Fe 2.75, 2 Te 2.76
Li 0.8750 0.8691 0.7500  4 Li 2.74-2.80, 2 Fe 2.75, 2 Te 2.76

***

This record from the Alexandria database describes crystalline Li2FeTe at its relaxed geometry. The functional is PBE.

## Properties
raw formation energy	-0.013	eV/atom
crystal system	tetragonal

Unit cell a=3.5121 b=3.5121 c=5.7049 alpha=90.00 beta=90.00 gamma=90.00
Closest atoms and distances in Å follow each position.
Fractional coordinates of all 4 atoms:
Fe 0.5000 0.5000 0.7386  4 Te 2.77, 6 Li 2.82-2.89
Li 0.0000 0.0000 0.9945  2 Te 2.69-3.01, 4 Li 2.86, 4 Fe 2.88
Li 0.5000 0.5000 0.2448  2 Fe 2.82-2.89, 4 Li 2.86, 4 Te 2.94
Te 0.0000 0.0000 0.5221  6 Li 2.69-3.01, 4 Fe 2.77

***

This record from the Alexandria database describes crystalline Li2FeTe at its relaxed geometry. The functional is PBE.

## Properties
raw formation energy	0.233	eV/atom
crystal system	trigonal

Unit cell a=9.3074 b=9.3074 c=9.3074 alpha=19.17 beta=19.17 gamma=19.17
Closest atoms and distances in Å follow each position.
Fractional coordinates of all 4 atoms:
Fe 0.2500 0.2500 0.2500  6 Li 2.82, 6 Fe 3.10
Li 0.9962 0.9962 0.9962  3 Fe 2.82, 3 Te 2.98, 6 Li 3.10
Li 0.5038 0.5038 0.5038  3 Fe 2.82, 3 Te 2.98, 6 Li 3.10
Te 0.7500 0.7500 0.7500  6 Li 2.98, 6 Te 3.10

***

This record from the Alexandria database describes crystalline Li2FeTe at its relaxed geometry. The functional is PBE.

## Properties
raw formation energy	-0.059	eV/atom
crystal system	tetragonal

Unit cell a=5.1232 b=5.1232 c=5.1232 alpha=135.37 beta=135.37 gamma=64.96
Closest atoms and distances in Å follow each position.
Fractional coordinates of all 4 atoms:
Fe 0.7500 0.2500 0.5000  4 Te 2.75, 8 Li 2.91
Li 0.0000 0.0000 0.0000  4 Li 2.75, 4 Fe 2.91, 4 Te 2.91
Li 0.5000 0.5000 0.0000  4 Li 2.75, 4 Fe 2.91, 4 Te 2.91
Te 0.2500 0.7500 0.5000  4 Fe 2.75, 8 Li 2.91

***

This record from the Alexandria database describes crystalline LiYFe2Te at its relaxed geometry. The functional is PBE.

## Properties
raw formation energy	0.949	eV/atom
crystal system	tetragonal

Unit cell a=5.0487 b=5.8395 c=5.0487 alpha=90.00 beta=90.00 gamma=90.00
Closest atoms and distances in Å follow each position.
Fractional coordinates of all 5 atoms:
Y 0.0000 0.0000 0.0000  4 Fe 2.52
Te 0.0000 0.5000 0.0000  2 Y 2.92
Fe 0.0000 0.0000 0.5000  2 Y 2.52
Fe 0.5000 0.0000 0.0000  2 Y 2.52
Li 0.5000 0.5000 0.5000  4 Te 3.57, 8 Fe 3.86

***

This record from the Alexandria database describes crystalline LiThFe at its relaxed geometry. The functional is PBE.

## Properties
formation enthalpy at 0 K	0.084	eV/atom
E above lowest polymorph	0.09	eV per formula unit
crystal system	monoclinic

Unit cell a=4.8457 b=4.8228 c=5.5645 alpha=101.72 beta=115.81 gamma=90.00
Closest atoms and distances in Å follow each position.
Fractional coordinates of all 6 atoms:
Fe 0.8108 0.1651 0.6216  2 Th 2.44-2.52, 3 Li 2.56-2.64
Fe 0.1892 0.8349 0.3784  2 Th 2.44-2.52, 3 Li 2.56-2.64
Li 0.5814 0.7997 0.1629  3 Fe 2.56-2.64, 1 Li 2.80
Li 0.4186 0.2003 0.8371  3 Fe 2.56-2.64, 1 Li 2.80
Th 0.8693 0.6840 0.7385  2 Fe 2.44-2.52
Th 0.1307 0.3160 0.2615  2 Fe 2.44-2.52

***

This record from the Alexandria database describes crystalline LiTh2Fe at its relaxed geometry. The functional is PBE.

## Properties
formation enthalpy at 0 K	0.186	eV/atom
E above lowest polymorph	0.40	eV per formula unit
crystal system	trigonal

Unit cell a=3.8689 b=3.8689 c=10.0851 alpha=78.94 beta=78.94 gamma=60.00
Closest atoms and distances in Å follow each position.
Fractional coordinates of all 4 atoms:
Fe 0.5000 0.5000 0.5000  6 Th 2.67
Th 0.1172 0.1172 0.6484  3 Fe 2.67
Th 0.8828 0.8828 0.3516  3 Fe 2.67
Li 0.0000 0.0000 0.0000  2 Th 3.46, 6 Li 3.87

***

This record from the Alexandria database describes crystalline LiThFe at its relaxed geometry. The functional is PBE.

## Properties
formation enthalpy at 0 K	0.052	eV/atom
E above lowest polymorph	0.00	eV per formula unit
crystal system	monoclinic

Unit cell a=3.9040 b=3.9000 c=10.9842 alpha=90.01 beta=89.96 gamma=60.04
Closest atoms and distances in Å follow each position.
Fractional coordinates of all 6 atoms:
Li 0.6284 0.9787 0.7109  3 Li 2.85-2.86
Li 0.9625 0.3117 0.8707  3 Li 2.85-2.86
Th 0.2945 0.6459 0.4645  6 Fe 2.90-3.00
Th 0.2964 0.6448 0.1171  6 Fe 2.90-3.00
Fe 0.6286 0.9786 0.2836  3 Fe 2.26
Fe 0.9621 0.3120 0.2979  3 Fe 2.26

***

This record from the Alexandria database describes crystalline LiTh2Fe at its relaxed geometry. The functional is PBE.

## Properties
formation enthalpy at 0 K	0.086	eV/atom
E above lowest polymorph	0.00	eV per formula unit
crystal system	monoclinic

Unit cell a=3.8983 b=3.8983 c=8.8367 alpha=76.95 beta=76.95 gamma=59.87
Closest atoms and distances in Å follow each position.
Fractional coordinates of all 4 atoms:
Li 0.4998 0.4998 0.5006  6 Th 3.58-3.61, 6 Li 3.89-3.90
Th 0.0574 0.0574 0.8276  3 Fe 2.68-2.69
Th 0.2762 0.2762 0.1715  3 Fe 2.68
Fe 0.6665 0.6665 0.0004  6 Th 2.68-2.69

***

This record from the Alexandria database describes crystalline LiThFe4 at its relaxed geometry. The functional is PBE.

## Properties
formation enthalpy at 0 K	0.052	eV/atom
crystal system	cubic

Unit cell a=5.0290 b=5.0290 c=5.0290 alpha=60.00 beta=60.00 gamma=60.00
Closest atoms and distances in Å follow each position.
Fractional coordinates of all 6 atoms:
Fe 0.6242 0.6242 0.1273  6 Fe 2.50-2.53
Fe 0.6242 0.1273 0.6242  6 Fe 2.50-2.53
Fe 0.6242 0.6242 0.6242  6 Fe 2.50-2.53
Fe 0.1273 0.6242 0.6242  6 Fe 2.50-2.53
Th 0.0000 0.0000 0.0000  12 Fe 2.95, 4 Li 3.08
Li 0.2500 0.2500 0.2500  12 Fe 2.95, 4 Th 3.08

***

This record from the Alexandria database describes crystalline LiTmThFe at its relaxed geometry. The functional is PBE.

## Properties
formation enthalpy at 0 K	0.067	eV/atom
crystal system	cubic

Unit cell a=4.8915 b=4.8915 c=4.8915 alpha=60.00 beta=60.00 gamma=60.00
Closest atoms and distances in Å follow each position.
Fractional coordinates of all 4 atoms:
Tm 0.2500 0.2500 0.2500  4 Fe 3.00, 4 Li 3.00
Fe 0.5000 0.5000 0.5000  4 Tm 3.00, 4 Th 3.00
Th 0.7500 0.7500 0.7500  4 Fe 3.00, 4 Li 3.00
Li 0.0000 0.0000 0.0000  4 Th 3.00, 4 Tm 3.00

***

This record from the Alexandria database describes crystalline LiYThFe at its relaxed geometry. The functional is PBE.

## Properties
formation enthalpy at 0 K	0.105	eV/atom
crystal system	cubic

Unit cell a=4.9347 b=4.9347 c=4.9347 alpha=60.00 beta=60.00 gamma=60.00
Closest atoms and distances in Å follow each position.
Fractional coordinates of all 4 atoms:
Y 0.7500 0.7500 0.7500  4 Li 3.02, 4 Fe 3.02
Fe 0.5000 0.5000 0.5000  4 Y 3.02, 4 Th 3.02
Th 0.2500 0.2500 0.2500  4 Fe 3.02, 4 Li 3.02
Li 0.0000 0.0000 0.0000  4 Th 3.02, 4 Y 3.02

***

This record from the Alexandria database describes crystalline LiTi2Fe2 at its relaxed geometry. The functional is PBE.

## Properties
formation enthalpy at 0 K	0.070	eV/atom
E above lowest polymorph	0.33	eV per formula unit
crystal system	tetragonal

Unit cell a=7.0550 b=7.0550 c=2.8307 alpha=90.00 beta=90.00 gamma=90.00
Closest atoms and distances in Å follow each position.
Fractional coordinates of all 10 atoms:
Li 0.0000 0.0000 0.0000  4 Ti 2.70, 2 Li 2.83
Li 0.5000 0.5000 0.0000  4 Ti 2.70, 2 Li 2.83
Fe 0.1454 0.6454 0.5000  6 Ti 2.50-2.52
Fe 0.6454 0.8546 0.5000  6 Ti 2.50-2.52
Fe 0.8546 0.3546 0.5000  6 Ti 2.50-2.52
Fe 0.3546 0.1454 0.5000  6 Ti 2.50-2.52
Ti 0.3539 0.8539 0.0000  6 Fe 2.50-2.52, 2 Li 2.70
Ti 0.8539 0.6461 0.0000  6 Fe 2.50-2.52, 2 Li 2.70
Ti 0.6461 0.1461 0.0000  6 Fe 2.50-2.52, 2 Li 2.70
Ti 0.1461 0.3539 0.0000  6 Fe 2.50-2.52, 2 Li 2.70

***

This record from the Alexandria database describes crystalline Li3TiFe at its relaxed geometry. The functional is PBE.

## Properties
formation enthalpy at 0 K	1.089	eV/atom
E above lowest polymorph	0.00	eV per formula unit
crystal system	cubic

Unit cell a=4.3138 b=4.3138 c=4.3138 alpha=90.00 beta=90.00 gamma=90.00
Closest atoms and distances in Å follow each position.
Fractional coordinates of all 5 atoms:
Li 0.0000 0.5000 0.0000  2 Fe 2.16
Li 0.0000 0.0000 0.5000  2 Fe 2.16
Li 0.5000 0.0000 0.0000  2 Fe 2.16
Fe 0.0000 0.0000 0.0000  6 Li 2.16
Ti 0.5000 0.5000 0.5000  12 Li 3.05

***

This record from the Alexandria database describes crystalline LiTiFe3 at its relaxed geometry. The functional is PBE.

## Properties
formation enthalpy at 0 K	1.034	eV/atom
E above lowest polymorph	1.51	eV per formula unit
crystal system	cubic

Unit cell a=4.3947 b=4.3947 c=4.3947 alpha=90.00 beta=90.00 gamma=90.00
Closest atoms and distances in Å follow each position.
Fractional coordinates of all 5 atoms:
Li 0.5000 0.5000 0.5000  12 Fe 3.11
Fe 0.0000 0.5000 0.0000  2 Ti 2.20
Fe 0.0000 0.0000 0.5000  2 Ti 2.20
Fe 0.5000 0.0000 0.0000  2 Ti 2.20
Ti 0.0000 0.0000 0.0000  6 Fe 2.20

***

This record from the Alexandria database describes crystalline LiTiFe3 at its relaxed geometry. The functional is PBE.

## Properties
formation enthalpy at 0 K	0.731	eV/atom
E above lowest polymorph	0.00	eV per formula unit
crystal system	cubic

Unit cell a=3.9729 b=3.9729 c=3.9729 alpha=90.00 beta=90.00 gamma=90.00
Closest atoms and distances in Å follow each position.
Fractional coordinates of all 5 atoms:
Li 0.0000 0.0000 0.0000  6 Fe 1.99
Fe 0.0000 0.5000 0.0000  2 Li 1.99
Fe 0.0000 0.0000 0.5000  2 Li 1.99
Fe 0.5000 0.0000 0.0000  2 Li 1.99
Ti 0.5000 0.5000 0.5000  12 Fe 2.81

***

This record from the Alexandria database describes crystalline LiTi3Fe at its relaxed geometry. The functional is PBE.

## Properties
formation enthalpy at 0 K	1.141	eV/atom
E above lowest polymorph	3.91	eV per formula unit
crystal system	cubic

Unit cell a=4.2468 b=4.2468 c=4.2468 alpha=90.00 beta=90.00 gamma=90.00
Closest atoms and distances in Å follow each position.
Fractional coordinates of all 5 atoms:
Li 0.0000 0.0000 0.0000  6 Ti 2.12
Fe 0.5000 0.5000 0.5000  12 Ti 3.00
Ti 0.0000 0.5000 0.0000  2 Li 2.12
Ti 0.0000 0.0000 0.5000  2 Li 2.12
Ti 0.5000 0.0000 0.0000  2 Li 2.12

***

This record from the Alexandria database describes crystalline LiTiFe2 at its relaxed geometry. The functional is PBE.

## Properties
formation enthalpy at 0 K	0.398	eV/atom
crystal system	tetragonal

Unit cell a=6.4818 b=6.4818 c=5.2348 alpha=51.75 beta=51.75 gamma=90.00
Closest atoms and distances in Å follow each position.
Fractional coordinates of all 8 atoms:
Li 0.5000 0.5000 0.0000  4 Fe 2.33, 2 Ti 2.53
Li 0.2500 0.7500 0.5000  4 Fe 2.33, 2 Ti 2.53
Fe 0.6142 0.1250 0.2500  2 Li 2.33, 2 Ti 2.43, 2 Fe 2.53
Fe 0.1358 0.6250 0.2500  2 Li 2.33, 2 Ti 2.43, 2 Fe 2.53
Fe 0.3750 0.3858 0.7500  2 Li 2.33, 2 Ti 2.43, 2 Fe 2.53
Fe 0.8750 0.8642 0.7500  2 Li 2.33, 2 Ti 2.43, 2 Fe 2.53
Ti 0.0000 0.0000 0.0000  4 Fe 2.43, 2 Li 2.53
Ti 0.7500 0.2500 0.5000  4 Fe 2.43, 2 Li 2.53

***

This record from the Alexandria database describes crystalline LiTi3Fe at its relaxed geometry. The functional is PBE.

## Properties
formation enthalpy at 0 K	0.359	eV/atom
E above lowest polymorph	0.00	eV per formula unit
crystal system	cubic

Unit cell a=4.5492 b=4.5492 c=4.5492 alpha=90.00 beta=90.00 gamma=90.00
Closest atoms and distances in Å follow each position.
Fractional coordinates of all 5 atoms:
Li 0.5000 0.5000 0.5000  12 Ti 3.22
Fe 0.0000 0.0000 0.0000  6 Ti 2.27
Ti 0.0000 0.5000 0.0000  2 Fe 2.27
Ti 0.0000 0.0000 0.5000  2 Fe 2.27
Ti 0.5000 0.0000 0.0000  2 Fe 2.27

***

This record from the Alexandria database describes crystalline LiTi2Fe2 at its relaxed geometry. The functional is PBE.

## Properties
formation enthalpy at 0 K	0.004	eV/atom
E above lowest polymorph	0.00	eV per formula unit
crystal system	tetragonal

Unit cell a=6.8691 b=6.8691 c=2.9314 alpha=90.00 beta=90.00 gamma=90.00
Closest atoms and distances in Å follow each position.
Fractional coordinates of all 10 atoms:
Li 0.0000 0.0000 0.0000  4 Fe 2.65, 2 Li 2.93
Li 0.5000 0.5000 0.0000  4 Fe 2.65, 2 Li 2.93
Fe 0.3599 0.8599 0.0000  6 Ti 2.49, 2 Li 2.65, 1 Fe 2.72
Fe 0.8599 0.6401 0.0000  6 Ti 2.49, 2 Li 2.65, 1 Fe 2.72
Fe 0.6401 0.1401 0.0000  6 Ti 2.49, 2 Li 2.65, 1 Fe 2.72
Fe 0.1401 0.3599 0.0000  6 Ti 2.49, 2 Li 2.65, 1 Fe 2.72
Ti 0.1532 0.6532 0.5000  6 Fe 2.49
Ti 0.6532 0.8468 0.5000  6 Fe 2.49
Ti 0.8468 0.3468 0.5000  6 Fe 2.49
Ti 0.3468 0.1532 0.5000  6 Fe 2.49

***

no.,D(E_F) (states/eV per cell),energy (eV/atom)
1,10.9,-3.7742
2,2.6,-3.8713
3,4.3,-3.6250
4,4.3,-3.9167
5,5.3,-4.7401
6,3.4,-5.8486
7,2.8,-6.1179
8,5.5,-5.8798
9,3.8,-6.2179
10,8.2,-7.1455
11,4.5,-5.4995
12,4.9,-5.9598
13,9.1,-6.8560
14,6.2,-3.3310
15,7.3,-6.0052
16,5.4,-6.3079
17,6.5,-5.6712
18,3.3,-6.2856
19,5.0,-6.4529
20,9.5,-6.9216